DFT (PBE-GGA) results for HoMg5 after structural relaxation.

## Properties
Calculated formation energy = -0.036 eV/atom
Magnetic moment = 0.000 μB per formula unit
Total DFT energy (no corrections) = -2.128 eV/atom
SG = P-3m1, No. 164

a = 5.096 Å, b = 5.096 Å, c = 6.559 Å
α = 90.00°, β = 90.00°, γ = 120.00°
Element x y z (fractional)
Ho 0.000 0.000 0.000
Mg 0.000 0.000 0.500
Mg 0.333 0.667 0.251
Mg 0.333 0.667 0.750
Mg 0.667 0.333 0.250
Mg 0.667 0.333 0.749